(1)
Computed, not measured: HoHfPt2 after structural relaxation at the GGA-PBE level of DFT.

extended XYZ file:
```
4
Lattice="3.369 0.000 0.000 0.000 3.369 0.000 0.000 0.000 7.023" Properties=species:S:1:pos:R:3 pbc="T T T"
Pt 0.000 0.000 5.499
Ho 1.685 1.685 3.511
Hf 1.685 1.685 0.000
Pt 0.000 0.000 1.524
```

## Properties
DFT formation energy	-1.12	eV/atom
E above lowest polymorph	0.141	eV/f.u.
D(E_F)	0.820	states/eV per atom
symmetry	P4/mmm (123)
magnetic moment	0.00	μB per cell



(2)
Computed, not measured: Ho2HfPt9 after structural relaxation at the GGA-PBE level of DFT.

extended XYZ file:
```
12
Lattice="-3.378 -1.655 1.585 -0.476 -2.254 -3.370 6.728 -8.925 5.018" Properties=species:S:1:pos:R:3 pbc="T T T"
Ho 4.487 -5.953 3.347
Pt 5.416 -8.627 2.532
Pt -0.615 -2.252 1.593
Pt -1.927 -1.955 -0.893
Pt 3.126 -5.589 0.824
Pt 2.582 -7.936 2.471
Hf 0.000 0.000 0.000
Pt 0.291 -4.898 0.762
Pt 1.675 -5.290 3.302
Ho 2.240 -2.972 1.671
Pt 3.965 -8.328 5.010
Pt 0.836 -2.551 -0.884
```

## Properties
DFT formation energy	-1.09	eV/atom
D(E_F)	0.660	states/eV per atom
symmetry	P4/mmm (123)
magnetic moment	0.00	μB per cell